## a
An optimized crystal structure of VTcTe2, computed with GGA-PBE.

```
4
Lattice="0.000 3.301 3.301 3.301 0.000 3.301 3.301 3.301 0.000" Properties=species:S:1:pos:R:3 pbc="T T T"
V 0.000 0.000 0.000
Tc 3.301 3.301 3.301
Te 1.650 1.650 1.650
Te 4.951 4.951 4.951
```

Calculated values
The value obtained for the density of states at the Fermi level is 4.7 states/eV per cell.

## b
An optimized crystal structure of VTcTe2, computed with GGA-PBE.

```
4
Lattice="1.693 0.978 9.043 -1.693 0.978 9.043 0.000 -1.955 9.043" Properties=species:S:1:pos:R:3 pbc="T T T"
V 0.000 0.000 0.000
Tc 0.000 0.000 13.564
Te 0.000 0.000 2.642
Te 0.000 0.000 24.486
```

Calculated values
The value obtained for the density of states at the Fermi level is 3.1 states/eV per cell.

Which structure wins on stability? a wins.

## a
An optimized crystal structure of VTcTe2, computed with GGA-PBE.

```
8
Lattice="-2.993 2.993 6.241 2.993 -2.993 6.241 2.993 2.993 -6.241" Properties=species:S:1:pos:R:3 pbc="T T T"
V 0.000 0.000 0.000
V 0.000 2.993 3.121
Tc 2.993 0.000 3.121
Tc 0.000 0.000 6.241
Te 1.496 -1.423 4.681
Te 1.570 1.496 1.560
Te 1.496 4.416 -1.560
Te 1.423 1.496 7.801
```

Calculated values
The value obtained for the density of states at the Fermi level is 7.2 states/eV per cell.

## b
An optimized crystal structure of VTcTe2, computed with GGA-PBE.

```
4
Lattice="1.642 0.948 8.893 -1.642 0.948 8.893 0.000 -1.896 8.893" Properties=species:S:1:pos:R:3 pbc="T T T"
V 0.000 0.000 0.000
Tc 0.000 0.000 13.340
Te 0.000 0.000 10.761
Te 0.000 0.000 15.919
```

Calculated values
The value obtained for the density of states at the Fermi level is 4.4 states/eV per cell.

Which structure wins on stability? a wins.

## a
An optimized crystal structure of Tc2TeW, computed with GGA-PBE.

```
4
Lattice="1.592 -2.384 0.000 1.592 2.384 0.000 0.000 0.000 9.264" Properties=species:S:1:pos:R:3 pbc="T T T"
Tc 0.000 0.000 0.000
Tc 1.592 0.000 2.052
Te 0.000 0.000 4.548
W 1.592 0.000 7.196
```

Calculated values
The value obtained for the density of states at the Fermi level is 4.6 states/eV per cell.

## b
An optimized crystal structure of Tc2TeW, computed with GGA-PBE.

```
4
Lattice="1.614 -2.434 0.000 1.614 2.434 0.000 0.000 0.000 8.947" Properties=species:S:1:pos:R:3 pbc="T T T"
Tc 0.000 0.000 2.012
Tc 0.000 0.000 6.935
Te 1.614 0.000 4.474
W 1.614 0.000 0.000
```

Calculated values
The value obtained for the density of states at the Fermi level is 4.5 states/eV per cell.

Which structure wins on stability? b wins.

## a
An optimized crystal structure of Tc2TeW, computed with GGA-PBE.

```
4
Lattice="0.000 3.207 3.207 3.207 0.000 3.207 3.207 3.207 0.000" Properties=species:S:1:pos:R:3 pbc="T T T"
Tc 1.603 1.603 1.603
Tc 4.810 4.810 4.810
Te 0.000 0.000 0.000
W 3.207 3.207 3.207
```

Calculated values
The value obtained for the density of states at the Fermi level is 3.7 states/eV per cell.

## b
An optimized crystal structure of Tc2TeW, computed with GGA-PBE.

```
4
Lattice="-1.588 2.245 4.605 1.588 -2.245 4.605 1.588 2.245 -4.605" Properties=species:S:1:pos:R:3 pbc="T T T"
Tc 0.000 0.000 0.000
Tc 0.000 2.245 2.089
Te 1.588 0.000 2.128
W 0.000 0.000 4.380
```

Calculated values
The value obtained for the density of states at the Fermi level is 3.7 states/eV per cell.

## c
An optimized crystal structure of Tc2TeW, computed with GGA-PBE.

```
8
Lattice="-2.929 2.929 5.695 2.929 -2.929 5.695 2.929 2.929 -5.695" Properties=species:S:1:pos:R:3 pbc="T T T"
Tc 4.394 1.330 -1.424
Tc 1.330 1.465 1.424
Tc -1.465 1.599 4.271
Tc 1.599 1.465 7.119
Te 2.929 0.000 2.847
Te 0.000 0.000 5.695
W 0.000 0.000 0.000
W 0.000 2.929 2.847
```

Calculated values
The value obtained for the density of states at the Fermi level is 6.7 states/eV per cell.

Which structure wins on stability? b wins.

## a
An optimized crystal structure of Tc2TeW, computed with GGA-PBE.

```
4
Lattice="-1.580 2.297 4.508 1.580 -2.297 4.508 1.580 2.297 -4.508" Properties=species:S:1:pos:R:3 pbc="T T T"
Tc 0.000 0.000 2.118
Tc 0.000 0.000 6.898
Te 1.580 0.000 0.000
W 0.000 2.297 0.000
```

Calculated values
The value obtained for the density of states at the Fermi level is 4.3 states/eV per cell.

## b
An optimized crystal structure of Tc2TeW, computed with GGA-PBE.

```
4
Lattice="3.112 0.000 0.000 0.000 3.112 0.000 0.000 0.000 6.845" Properties=species:S:1:pos:R:3 pbc="T T T"
Tc 0.000 0.000 0.000
Tc 1.556 1.556 1.617
Te 0.000 0.000 3.367
W 1.556 1.556 5.237
```

Calculated values
The value obtained for the density of states at the Fermi level is 3.1 states/eV per cell.

## c
An optimized crystal structure of Tc2TeW, computed with GGA-PBE.

```
4
Lattice="3.165 0.000 0.000 0.000 3.165 0.000 0.000 0.000 6.727" Properties=species:S:1:pos:R:3 pbc="T T T"
Tc 0.000 0.000 1.531
Tc 0.000 0.000 5.196
Te 1.582 1.582 3.364
W 1.582 1.582 0.000
```

Calculated values
The value obtained for the density of states at the Fermi level is 1.7 states/eV per cell.

Which structure wins on stability? c wins.

## a
An optimized crystal structure of Tc2TeW, computed with GGA-PBE.

```
4
Lattice="4.799 -1.540 0.000 4.799 1.540 0.000 -0.708 0.000 4.537" Properties=species:S:1:pos:R:3 pbc="T T T"
Tc 0.000 0.000 0.000
Tc 6.905 0.000 1.140
Te 1.770 0.000 3.411
W 4.277 0.000 2.017
```

Calculated values
The value obtained for the density of states at the Fermi level is 2.6 states/eV per cell.

## b
An optimized crystal structure of Tc2TeW, computed with GGA-PBE.

```
4
Lattice="4.568 -1.553 0.000 4.568 1.553 0.000 -0.921 0.000 4.783" Properties=species:S:1:pos:R:3 pbc="T T T"
Tc 1.946 0.000 1.041
Tc 6.268 0.000 3.742
Te -0.461 0.000 2.392
W 4.568 0.000 0.000
```

Calculated values
The value obtained for the density of states at the Fermi level is 4.1 states/eV per cell.

## c
An optimized crystal structure of Tc2TeW, computed with GGA-PBE.

```
4
Lattice="0.000 3.208 3.208 3.208 0.000 3.208 3.208 3.208 0.000" Properties=species:S:1:pos:R:3 pbc="T T T"
Tc 0.000 0.000 0.000
Tc 1.604 1.604 1.604
Te 4.813 4.813 4.813
W 3.208 3.208 3.208
```

Calculated values
The value obtained for the density of states at the Fermi level is 5.1 states/eV per cell.

## d
An optimized crystal structure of Tc2TeW, computed with GGA-PBE.

```
4
Lattice="3.057 0.000 0.000 0.000 4.131 0.000 -0.070 0.000 5.335" Properties=species:S:1:pos:R:3 pbc="T T T"
Tc 0.000 0.000 0.000
Tc 1.377 2.065 3.750
Te 1.517 2.065 1.101
W 0.044 0.000 2.745
```

Calculated values
The value obtained for the density of states at the Fermi level is 3.7 states/eV per cell.

Which structure wins on stability? a wins.